DFT (GGA-PBE) results for crystalline CeGaS3 at its relaxed geometry.

Unit cell a=7.0697 b=8.5861 c=8.5861 alpha=80.88 beta=77.48 gamma=77.48
Fractional positions:
Ce 0.2500 0.9018 0.0982
Ce 0.7500 0.0982 0.9018
Ce 0.2500 0.3251 0.6749
Ce 0.7500 0.6749 0.3251
Ga 0.7528 0.6135 0.7991
Ga 0.7472 0.2009 0.3865
Ga 0.2472 0.3865 0.2009
Ga 0.2528 0.7991 0.6135
S 0.6518 0.7819 0.9950
S 0.8482 0.0050 0.2181
S 0.3482 0.2181 0.0050
S 0.1518 0.9950 0.7819
S 0.8914 0.3701 0.9063
S 0.6086 0.0937 0.6299
S 0.1086 0.6299 0.0937
S 0.3914 0.9063 0.3701
S 0.5074 0.5841 0.6676
S 0.9926 0.3324 0.4159
S 0.4926 0.4159 0.3324
S 0.0074 0.6676 0.5841

Results
Energy relative to the elements, uncorrected (eV/atom): -1.30
Space group: C2/c, No. 15
Total magnetization (μB per cell): 4.02
Energy above the lowest structure with this stoichiometry (meV/atom): 0.0